Entry from Alexandria via LeMat-Bulk: crystalline LiTaBr at its relaxed geometry (PBE).

The structure in POSCAR format:
```
LiTaBr
1.0
6.221 0.000 0.000
0.000 6.221 0.000
0.000 0.000 6.221
Li Ta Br
4 4 4
Direct
0.000 0.000 0.000
0.000 0.500 0.500
0.500 0.000 0.500
0.500 0.500 0.000
0.250 0.250 0.750
0.250 0.750 0.250
0.750 0.250 0.250
0.750 0.750 0.750
0.000 0.000 0.500
0.000 0.500 0.000
0.500 0.000 0.000
0.500 0.500 0.500
```

Entry from Alexandria via LeMat-Bulk: crystalline LiTa2TcBr at its relaxed geometry (PBE).

The structure in POSCAR format:
```
LiTa2TcBr
1.0
4.791 0.000 0.000
0.000 4.791 0.000
0.000 0.000 3.944
Li Ta Tc Br
1 2 1 1
Direct
0.000 0.000 0.000
0.000 0.500 0.500
0.500 0.000 0.500
0.500 0.500 0.000
0.000 0.000 0.500
```

Entry from Alexandria via LeMat-Bulk: crystalline LiTaTe2Br at its relaxed geometry (PBE).

The structure in POSCAR format:
```
LiTaTe2Br
1.0
5.192 0.000 0.000
0.000 5.192 0.000
0.000 0.000 4.491
Li Ta Te Br
1 1 2 1
Direct
0.000 0.000 0.000
0.500 0.500 0.500
0.000 0.500 0.000
0.500 0.000 0.000
0.000 0.000 0.500
```

Entry from Alexandria via LeMat-Bulk: crystalline LiTaZn2Br at its relaxed geometry (PBE).

The structure in POSCAR format:
```
LiTaZn2Br
1.0
5.174 0.000 0.000
0.000 5.174 0.000
0.000 0.000 4.182
Li Ta Zn Br
1 1 2 1
Direct
0.000 0.000 0.000
0.500 0.500 0.000
0.000 0.500 0.500
0.500 0.000 0.500
0.000 0.000 0.500
```

Entry from Alexandria via LeMat-Bulk: crystalline LiTbBr6 at its relaxed geometry (PBE).

The structure in POSCAR format:
```
LiTbBr6
1.0
0.000 5.453 5.453
5.453 0.000 5.453
5.453 5.453 0.000
Li Tb Br
1 1 6
Direct
0.000 0.000 0.000
0.500 0.500 0.500
0.244 0.244 0.756
0.244 0.756 0.244
0.244 0.756 0.756
0.756 0.244 0.244
0.756 0.244 0.756
0.756 0.756 0.244
```

Entry from Alexandria via LeMat-Bulk: crystalline Li2TbBr6 at its relaxed geometry (PBE).

The structure in POSCAR format:
```
Li2TbBr6
1.0
6.752 -2.089 0.000
6.752 2.089 0.000
-2.024 0.000 11.226
Li Tb Br
2 1 6
Direct
0.180 0.180 0.391
0.820 0.820 0.609
0.000 0.000 0.000
0.176 0.176 0.168
0.368 0.368 0.507
0.431 0.431 0.135
0.569 0.569 0.865
0.632 0.632 0.493
0.824 0.824 0.832
```

Entry from Alexandria via LeMat-Bulk: crystalline Li3TbBr6 at its relaxed geometry (PBE).

The structure in POSCAR format:
```
Li3TbBr6
1.0
7.786 0.000 0.000
3.830 6.873 0.000
3.830 2.222 6.506
Li Tb Br
3 1 6
Direct
0.000 0.000 0.000
0.000 0.500 0.500
0.500 0.000 0.500
0.000 0.500 0.000
0.230 0.772 0.769
0.233 0.272 0.269
0.244 0.247 0.747
0.756 0.753 0.253
0.767 0.728 0.731
0.770 0.228 0.231
```

Entry from Alexandria via LeMat-Bulk: crystalline LiTbBr4 at its relaxed geometry (PBE).

The structure in POSCAR format:
```
LiTbBr4
1.0
4.079 -8.847 0.000
4.079 8.847 0.000
-4.097 0.000 5.669
Li Tb Br
2 2 8
Direct
0.162 0.838 0.750
0.838 0.162 0.250
0.328 0.672 0.250
0.672 0.328 0.750
0.047 0.457 0.755
0.175 0.324 0.256
0.324 0.175 0.756
0.457 0.047 0.255
0.543 0.953 0.745
0.676 0.825 0.244
0.825 0.676 0.744
0.953 0.543 0.245
```

Entry from Alexandria via LeMat-Bulk: crystalline LiTbBr3 at its relaxed geometry (PBE).

The structure in POSCAR format:
```
LiTbBr3
1.0
6.788 0.000 0.000
2.875 6.191 0.000
2.668 2.462 6.793
Li Tb Br
2 2 6
Direct
0.121 0.174 0.058
0.879 0.826 0.942
0.358 0.361 0.487
0.642 0.639 0.513
0.049 0.766 0.256
0.243 0.557 0.790
0.418 0.081 0.255
0.582 0.919 0.745
0.757 0.443 0.210
0.951 0.234 0.744
```

Entry from Alexandria via LeMat-Bulk: crystalline Li4Tb2Br9 at its relaxed geometry (PBE).

The structure in POSCAR format:
```
Li4Tb2Br9
1.0
7.049 0.000 0.000
-3.524 6.106 0.000
0.000 -0.001 19.051
Li Tb Br
8 4 18
Direct
0.166 0.333 0.165
0.166 0.333 0.484
0.167 0.333 0.664
0.167 0.333 0.984
0.833 0.667 0.016
0.833 0.667 0.336
0.834 0.667 0.516
0.834 0.667 0.835
0.500 0.000 0.160
0.500 0.000 0.340
0.500 0.000 0.660
0.500 0.000 0.840
0.143 0.663 0.417
0.144 0.981 0.917
0.162 0.643 0.083
0.163 0.019 0.583
0.168 0.000 0.250
0.169 0.668 0.750
0.480 0.337 0.083
0.481 0.644 0.583
0.500 0.332 0.750
0.500 0.668 0.250
0.519 0.356 0.417
0.520 0.663 0.917
0.831 0.332 0.250
0.832 0.000 0.750
0.837 0.981 0.417
0.838 0.357 0.917
0.856 0.019 0.083
0.857 0.337 0.583
```

Entry from Alexandria via LeMat-Bulk: crystalline Li5Tb3Br12 at its relaxed geometry (PBE).

The structure in POSCAR format:
```
Li5Tb3Br12
1.0
-8.067 8.067 8.067
8.067 -8.067 8.067
8.067 8.067 -8.067
Li Tb Br
20 12 48
Direct
0.000 0.000 0.000
0.000 0.000 0.500
0.000 0.500 0.000
0.000 0.500 0.500
0.125 0.750 0.875
0.125 0.875 0.250
0.250 0.125 0.875
0.250 0.625 0.375
0.375 0.250 0.625
0.375 0.625 0.750
0.500 0.000 0.000
0.500 0.000 0.500
0.500 0.500 0.000
0.500 0.500 0.500
0.625 0.375 0.250
0.625 0.750 0.375
0.750 0.375 0.625
0.750 0.875 0.125
0.875 0.125 0.750
0.875 0.250 0.125
0.125 0.250 0.375
0.125 0.375 0.750
0.250 0.375 0.125
0.250 0.875 0.625
0.375 0.125 0.250
0.375 0.750 0.125
0.625 0.250 0.875
0.625 0.875 0.750
0.750 0.125 0.375
0.750 0.625 0.875
0.875 0.625 0.250
0.875 0.750 0.625
0.037 0.217 0.126
0.037 0.320 0.911
0.089 0.626 0.409
0.089 0.963 0.680
0.091 0.717 0.680
0.091 0.874 0.411
0.126 0.037 0.217
0.126 0.589 0.909
0.180 0.217 0.591
0.180 0.463 0.589
0.217 0.126 0.037
0.217 0.591 0.180
0.283 0.320 0.909
0.283 0.463 0.374
0.320 0.909 0.283
0.320 0.911 0.037
0.374 0.283 0.463
0.374 0.591 0.911
0.409 0.089 0.626
0.409 0.820 0.783
0.411 0.091 0.874
0.411 0.820 0.537
0.463 0.374 0.283
0.463 0.589 0.180
0.537 0.411 0.820
0.537 0.626 0.717
0.589 0.180 0.463
0.589 0.909 0.126
0.591 0.180 0.217
0.591 0.911 0.374
0.626 0.409 0.089
0.626 0.717 0.537
0.680 0.089 0.963
0.680 0.091 0.717
0.717 0.537 0.626
0.717 0.680 0.091
0.783 0.409 0.820
0.783 0.874 0.963
0.820 0.537 0.411
0.820 0.783 0.409
0.874 0.411 0.091
0.874 0.963 0.783
0.909 0.126 0.589
0.909 0.283 0.320
0.911 0.037 0.320
0.911 0.374 0.591
0.963 0.680 0.089
0.963 0.783 0.874
```

Entry from Alexandria via LeMat-Bulk: crystalline LiTbBr4 at its relaxed geometry (PBE).

The structure in POSCAR format:
```
LiTbBr4
1.0
7.008 0.000 0.000
0.000 4.119 0.000
-0.608 0.000 7.016
Li Tb Br
1 1 4
Direct
0.000 0.000 0.000
0.000 0.500 0.500
0.208 0.500 0.182
0.234 0.000 0.677
0.766 0.000 0.323
0.792 0.500 0.818
```

| no. | formation energy without anion corrections (eV per atom) | magnetic moment (μB per atom) |
| --- | --- | --- |
| 1 | 1.2487 | 0.197 |
| 2 | 1.1891 | 0.000 |
| 3 | 0.6047 | 0.316 |
| 4 | 1.0047 | 0.518 |
| 5 | -1.0577 | 0.000 |
| 6 | -1.3885 | 0.000 |
| 7 | -1.6010 | 0.000 |
| 8 | -1.7224 | 0.000 |
| 9 | -1.5053 | 0.199 |
| 10 | -1.6034 | 0.067 |
| 11 | -1.5071 | 0.040 |
| 12 | -1.7470 | 0.000 |